[1]
VASP calculation (PBE) on PrZnCu2O6 after structural relaxation.

Its energy relative to the elements, uncorrected is -12.324 eV/f.u. As for the crystal system: orthorhombic. For the size of the total moment, the calculation gives 0.000 μB/cell.

The structure belongs to space group Pmn2_1 (No. 31); the cell edges are 7.626, 5.458 and 5.215 Å and the angles 90.00°, 90.00° and 90.00°. Symmetry generates all atoms from Pr at (0.000, 0.206, 0.000), Zn at (0.000, 0.697, 0.459), Cu at (0.248, 0.747, 0.985), O at (0.000, 0.295, 0.559), O at (0.000, 0.771, 0.848), O at (0.189, 0.491, 0.223) and O at (0.193, 0.950, 0.293).

[2]
VASP calculation (PBE) on Pr2ZnCuO5 after structural relaxation.

Its energy relative to the elements, uncorrected is -16.278 eV/f.u. As for the crystal system: tetragonal. For the size of the total moment, the calculation gives 2.161 μB/cell.

The structure belongs to space group P4/mbm (No. 127); the cell edges are 6.819, 6.819 and 5.725 Å and the angles 90.00°, 90.00° and 90.00°. Symmetry generates all atoms from Pr at (0.174, 0.326, 0.000), Zn at (0.000, 0.500, 0.500), Cu at (0.000, 0.000, 0.500), O at (0.000, 0.000, 0.000) and O at (0.136, 0.636, 0.254).

[3]
VASP calculation (PBE) on CuPt2O after structural relaxation.

Its energy relative to the elements, uncorrected is 1.763 eV/f.u. As for the crystal system: tetragonal. For the size of the total moment, the calculation gives 0.000 μB/cell.

The structure belongs to space group I-42d (No. 122); the cell edges are 4.702, 4.702 and 12.612 Å and the angles 90.00°, 90.00° and 90.00°. Symmetry generates all atoms from Cu at (0.000, 0.000, 0.000), Pt at (0.114, 0.250, 0.625) and O at (0.000, 0.000, 0.500).

[4]
VASP calculation (PBE) on CuPtO4 after structural relaxation.

Its energy relative to the elements, uncorrected is -2.111 eV/f.u. As for the crystal system: monoclinic. For the size of the total moment, the calculation gives 1.633 μB/cell.

The structure belongs to space group P2_1/c (No. 14); the cell edges are 5.506, 4.398 and 5.587 Å and the angles 90.00°, 110.15° and 90.00°. Symmetry generates all atoms from Cu at (0.000, 0.000, 0.000), Pt at (0.500, 0.000, 0.500), O at (0.171, 0.226, 0.349) and O at (0.326, 0.738, 0.681).

[5]
VASP calculation (PBE) on CuPtO2 after structural relaxation.

Its energy relative to the elements, uncorrected is -1.941 eV/f.u. As for the crystal system: orthorhombic. For the size of the total moment, the calculation gives 0.007 μB/cell.

The structure belongs to space group Pmna (No. 53); the cell edges are 5.284, 4.298 and 4.311 Å and the angles 90.00°, 90.00° and 90.00°. Symmetry generates all atoms from Cu at (0.000, 0.000, 0.000), Pt at (0.000, 0.500, 0.500) and O at (0.250, 0.238, 0.250).

[6]
VASP calculation (PBE) on CuPtO2 after structural relaxation.

Its energy relative to the elements, uncorrected is 0.032 eV/f.u. As for the crystal system: tetragonal. For the size of the total moment, the calculation gives 0.000 μB/cell.

The structure belongs to space group I-42d (No. 122); the cell edges are 5.418, 5.418 and 6.363 Å and the angles 90.00°, 90.00° and 90.00°. Symmetry generates all atoms from Cu at (0.000, 0.000, 0.000), Pt at (0.000, 0.000, 0.500) and O at (0.236, 0.750, 0.125).

Question: Which formula does entry 1 have?
Answer: PrZnCu2O6

Question: size of the total moment of number 5 (CuPtO2)?
Answer: 0.007 μB/cell